No. 1
Here is a geometry-optimized Ac2PuZn3Pd4 structure from Alexandria. Energies are from PBE-GGA.

Cell and atoms, written as extended XYZ:
```
10
Lattice="-3.401 -2.879 0.369 0.784 -1.458 -4.153 6.965 -7.712 4.022" Properties=species:S:1:pos:R:3 pbc="T T T"
Zn 3.483 -3.856 2.011
Zn 4.470 -8.272 3.748
Zn 1.187 -1.609 -1.618
Ac -0.131 -3.177 1.091
Ac 5.788 -6.703 1.039
Pd 2.865 -6.494 2.821
Pd 2.792 -3.387 -0.691
Pd 0.000 0.000 0.000
Pd -1.309 -2.169 -1.892
Pu 2.174 -6.025 0.119
```

Output
Formation energy: -0.578 eV/atom

No. 2
Here is a geometry-optimized AcPuZnPd structure from Alexandria. Energies are from PBE-GGA.

Cell and atoms, written as extended XYZ:
```
4
Lattice="5.260 0.000 0.000 2.630 4.556 0.000 2.630 1.519 4.295" Properties=species:S:1:pos:R:3 pbc="T T T"
Ac 0.000 0.000 0.000
Pu 5.260 3.037 2.148
Pd 2.630 1.519 1.074
Zn 7.891 4.556 3.221
```

Output
Formation energy: -0.272 eV/atom

No. 3
Here is a geometry-optimized RbAcPd2 structure from Alexandria. Energies are from PBE-GGA.

Cell and atoms, written as extended XYZ:
```
4
Lattice="4.324 0.000 0.000 2.162 3.745 0.000 2.162 1.248 8.377" Properties=species:S:1:pos:R:3 pbc="T T T"
Ac 0.000 0.000 0.000
Pd 6.486 3.745 6.679
Pd 2.162 1.248 1.698
Rb 4.324 2.496 4.189
```

Output
Formation energy: -0.287 eV/atom
Distance to the lowest polymorph of the same formula: 0.095 eV per atom

No. 4
Here is a geometry-optimized RbAcPd2 structure from Alexandria. Energies are from PBE-GGA.

Cell and atoms, written as extended XYZ:
```
4
Lattice="-1.893 0.662 -3.317 -3.371 -0.686 1.787 -0.606 8.081 1.958" Properties=species:S:1:pos:R:3 pbc="T T T"
Rb -2.935 4.029 0.214
Pd -0.494 6.589 1.597
Pd -0.112 1.491 0.361
Ac -2.632 -0.012 -0.765
```

Output
Formation energy: -0.381 eV/atom
Distance to the lowest polymorph of the same formula: 0.000 eV per atom

No. 5
Here is a geometry-optimized RbAc2Pd structure from Alexandria. Energies are from PBE-GGA.

Cell and atoms, written as extended XYZ:
```
4
Lattice="4.492 0.000 0.000 2.246 3.890 0.000 2.246 1.297 12.202" Properties=species:S:1:pos:R:3 pbc="T T T"
Ac 2.246 1.297 7.692
Ac 6.738 3.890 4.510
Rb 0.000 0.000 0.000
Pd 4.492 2.593 6.101
```

Output
Formation energy: -0.254 eV/atom

No. 6
Here is a geometry-optimized Ac4PdRh structure from Alexandria. Energies are from PBE-GGA.

Cell and atoms, written as extended XYZ:
```
12
Lattice="-1.159 4.940 -5.494 2.421 -6.398 -3.104 -8.544 -1.919 3.587" Properties=species:S:1:pos:R:3 pbc="T T T"
Rh -2.041 3.313 -4.226
Rh -5.241 -6.690 -0.786
Ac -2.500 -2.545 -0.969
Ac -8.268 1.744 -2.598
Ac -0.833 0.628 -3.590
Ac 0.985 -5.121 -2.413
Ac -6.450 -4.005 -1.422
Ac -1.799 -3.438 -5.436
Ac -5.483 0.061 0.424
Ac -4.782 -0.832 -4.043
Pd -6.965 -0.999 -1.975
Pd -0.317 -2.378 -3.037
```

Output
Formation energy: -0.510 eV/atom
Distance to the lowest polymorph of the same formula: 0.011 eV per atom

No. 7
Here is a geometry-optimized Ac5Pd2Rh structure from Alexandria. Energies are from PBE-GGA.

Cell and atoms, written as extended XYZ:
```
32
Lattice="-3.833 2.630 -2.994 2.285 -5.939 -8.142 -13.560 -13.163 5.796" Properties=species:S:1:pos:R:3 pbc="T T T"
Ac -7.629 -12.628 -3.880
Ac -6.742 -7.897 -0.859
Ac -5.527 -6.568 -6.353
Ac -4.630 -10.537 -5.883
Ac -3.153 -3.722 -6.892
Ac -4.035 -6.022 -2.678
Ac -8.366 -8.574 -4.481
Ac -10.306 -14.685 -2.260
Ac -15.944 -11.851 2.340
Ac -11.955 -12.749 1.552
Ac -11.073 -10.449 -2.663
Ac -10.479 -5.934 0.542
Ac -7.480 -3.843 -1.460
Ac -13.658 -8.880 2.025
Ac -4.803 -1.787 -3.080
Ac -14.174 -13.600 -1.461
Ac -0.934 -2.871 -3.880
Ac -9.582 -9.903 1.013
Ac -1.450 -7.591 -7.365
Ac 0.835 -4.620 -7.681
Rh -2.743 -1.107 -5.120
Rh -8.262 -7.302 1.608
Rh -6.847 -9.169 -6.949
Rh -12.365 -15.364 -0.221
Pd -2.342 -6.190 -4.993
Pd -12.978 -11.363 4.078
Pd -7.939 -10.550 -1.658
Pd -7.170 -5.921 -3.683
Pd -12.766 -10.281 -0.348
Pd -2.131 -5.109 -9.419
Pd -10.695 -12.349 -4.816
Pd -4.413 -4.122 -0.525
```

Output
Formation energy: -0.520 eV/atom

No. 8
Here is a geometry-optimized Ac2PdRh structure from Alexandria. Energies are from PBE-GGA.

Cell and atoms, written as extended XYZ:
```
8
Lattice="-4.451 0.254 -0.244 -0.491 -4.294 4.491 0.252 7.647 3.368" Properties=species:S:1:pos:R:3 pbc="T T T"
Rh -3.600 -0.497 3.864
Rh -1.091 4.104 3.751
Pd -3.468 3.378 5.506
Pd -1.222 0.229 2.109
Ac -3.218 6.281 3.969
Ac -3.339 2.567 2.309
Ac -1.351 1.040 5.305
Ac -1.472 -2.674 3.646
```

Output
Formation energy: -0.759 eV/atom